Here is crystalline CrAs2WSe at its relaxed geometry from Alexandria via LeMat-Bulk. Energies are from PBE.

Cell and atoms, written as POSCAR:
```
CrAs2WSe
1.0
4.789 0.000 0.000
0.000 5.111 0.000
0.000 0.000 4.789
W Se As Cr
1 1 2 1
direct
0.000 0.000 0.000 W
0.500 0.500 0.500 Se
0.500 0.000 0.000 As
0.000 0.000 0.500 As
0.000 0.500 0.000 Cr
```

Summary:
- energy relative to the elements, uncorrected (eV per atom) = 0.82
- Fermi-level density of states (states/eV/cell) = 4.71
- calculated total energy (eV per atom) = -6.25

Here is crystalline CrAs2WSe at its relaxed geometry from Alexandria via LeMat-Bulk. Energies are from PBE.

Cell and atoms, written as POSCAR:
```
CrAs2WSe
1.0
4.901 0.000 0.000
0.000 4.901 0.000
0.000 0.000 4.964
As Se W Cr
2 1 1 1
direct
0.500 0.000 0.000 As
0.000 0.500 0.000 As
0.000 0.000 0.500 Se
0.000 0.000 0.000 W
0.500 0.500 0.500 Cr
```

Summary:
- energy relative to the elements, uncorrected (eV per atom) = 0.73
- Fermi-level density of states (states/eV/cell) = 3.20
- calculated total energy (eV per atom) = -6.35

Here is crystalline YCrAs2Se at its relaxed geometry from Alexandria via LeMat-Bulk. Energies are from PBE.

Cell and atoms, written as POSCAR:
```
YCrAs2Se
1.0
-1.701 -3.913 1.721
4.275 -1.567 0.664
0.025 2.103 4.807
Se As Y Cr
1 2 1 1
direct
0.000 0.000 0.500 Se
0.000 0.500 0.000 As
0.500 0.000 0.000 As
0.500 0.500 0.500 Y
0.000 0.000 0.000 Cr
```

Summary:
- energy relative to the elements, uncorrected (eV per atom) = -0.32
- Fermi-level density of states (states/eV/cell) = 3.40
- calculated total energy (eV per atom) = -6.09

Here is crystalline YCrAs2Se at its relaxed geometry from Alexandria via LeMat-Bulk. Energies are from PBE.

Cell and atoms, written as POSCAR:
```
YCrAs2Se
1.0
-1.830 5.037 0.779
-3.481 -1.840 3.718
3.699 0.751 3.835
As Se Cr Y
2 1 1 1
direct
0.000 0.500 0.000 As
0.500 0.000 0.000 As
0.000 0.000 0.500 Se
0.500 0.500 0.500 Cr
0.000 0.000 0.000 Y
```

Summary:
- energy relative to the elements, uncorrected (eV per atom) = 0.48
- Fermi-level density of states (states/eV/cell) = 3.92
- calculated total energy (eV per atom) = -5.30